## Er2ZnPd4 (PBE)

Data for a geometry-optimized Er2ZnPd4 structure.

Structure (POSCAR):
```
Er2ZnPd4
1.0
4.6354 0.0000 0.0000
0.0000 4.6354 0.0000
-2.3177 -2.3177 7.0285
Er Zn Pd
2 1 4
direct
0.6357 0.6357 0.2713
0.3643 0.3643 0.7287
0.0000 0.0000 0.0000
0.8246 0.8246 0.6491
0.1754 0.1754 0.3509
0.0000 0.5000 0.0000
0.5000 0.0000 0.0000
```

Calculated values
magnetization = 0.00 μB per formula unit
total energy = -33.66 eV per cell
ΔH_f (0 K) = -0.356 eV/atom

## ErZn6Pd6 (PBE)

Data for a geometry-optimized ErZn6Pd6 structure.

Structure (POSCAR):
```
ErZn6Pd6
1.0
-4.4442 2.6545 0.4902
-5.0081 -3.7618 2.5443
-0.5798 3.0094 6.0261
Er Zn Pd
1 6 6
direct
0.0000 0.0000 0.0000
0.0000 0.5000 0.0000
0.5000 0.5000 0.0000
0.0000 0.0000 0.5000
0.5000 0.0000 0.5000
0.5000 0.7580 0.2420
0.5000 0.2420 0.7580
0.3387 0.6613 0.6613
0.6613 0.3387 0.3387
0.0000 0.3431 0.6569
0.0000 0.6569 0.3431
0.3208 0.1792 0.1792
0.6792 0.8208 0.8208
```

Calculated values
magnetization = 0.00 μB per formula unit
total energy = -50.54 eV per cell
ΔH_f (0 K) = -0.552 eV/atom

## ErZn5Pd6 (PBE)

Data for a geometry-optimized ErZn5Pd6 structure.

Structure (POSCAR):
```
ErZn5Pd6
1.0
-1.9722 -2.4405 -2.7220
5.0193 1.3644 -4.8600
4.2874 -3.7128 3.3856
Zn Pd Er
5 6 1
direct
0.6647 0.5000 0.3293
0.3242 0.0000 0.6484
0.0000 0.5000 0.0000
0.6758 0.0000 0.3516
0.3353 0.5000 0.6707
0.8298 0.7375 0.6595
0.8298 0.2625 0.6595
0.5000 0.2660 0.0000
0.5000 0.7340 0.0000
0.1702 0.7375 0.3405
0.1702 0.2625 0.3405
0.0000 0.0000 0.0000
```

Calculated values
magnetization = 0.00 μB per formula unit
total energy = -49.56 eV per cell
ΔH_f (0 K) = -0.623 eV/atom

## Er3Zn4Pd4 (PBE)

Data for a geometry-optimized Er3Zn4Pd4 structure.

Structure (POSCAR):
```
Er3Zn4Pd4
1.0
-0.5914 1.5193 3.6422
-7.3396 -0.3575 -1.0426
3.8986 -7.0724 1.3972
Er Zn Pd
3 4 4
direct
0.1255 0.1255 0.2510
0.8745 0.8745 0.7490
0.0000 0.5000 0.0000
0.3269 0.1284 0.6538
0.6731 0.4746 0.3462
0.6731 0.8716 0.3462
0.3269 0.5254 0.6538
0.2181 0.7181 0.4362
0.7819 0.2819 0.5638
0.5000 0.8071 0.0000
0.5000 0.1929 0.0000
```

Calculated values
magnetization = 0.00 μB per formula unit
total energy = -47.22 eV per cell
ΔH_f (0 K) = -0.697 eV/atom

## ErZn2Pd7 (PBE)

Data for a geometry-optimized ErZn2Pd7 structure.

Structure (POSCAR):
```
ErZn2Pd7
1.0
-3.8725 -1.7790 1.2272
0.7130 -5.0647 -5.0919
2.6417 -1.1906 6.6099
Er Zn Pd
1 2 7
direct
0.0000 0.0000 0.0000
0.5000 0.7001 0.2999
0.5000 0.2999 0.7001
0.0000 0.7861 0.2139
0.0000 0.2139 0.7861
0.5000 0.0701 0.3028
0.5000 0.9299 0.6972
0.5000 0.3028 0.0701
0.5000 0.6972 0.9299
0.5000 0.5000 0.5000
```

Calculated values
magnetization = 0.00 μB per formula unit
total energy = -44.84 eV per cell
ΔH_f (0 K) = -0.138 eV/atom

## ErZn2Pd2 (PBE)

Data for a geometry-optimized ErZn2Pd2 structure.

Structure (POSCAR):
```
ErZn2Pd2
1.0
-3.5998 2.8969 -0.0318
-1.2374 -1.5861 -4.4270
-4.1191 -5.0661 4.7774
Er Zn Pd
2 4 4
direct
0.2500 0.2116 0.2700
0.7500 0.7884 0.7300
0.2500 0.6373 0.0014
0.7500 0.3627 0.9986
0.2500 0.3444 0.6519
0.7500 0.6556 0.3481
0.2500 0.7981 0.5057
0.7500 0.2019 0.4943
0.2500 0.0994 0.9014
0.7500 0.9006 0.0986
```

Calculated values
magnetization = 0.00 μB per formula unit
total energy = -41.42 eV per cell
ΔH_f (0 K) = -0.643 eV/atom
energy relative to the lowest polymorph listed for this composition = 0 meV/atom

## Er7Zn2Pd2 (PBE)

Data for a geometry-optimized Er7Zn2Pd2 structure.

Structure (POSCAR):
```
Er7Zn2Pd2
1.0
6.5534 -0.0029 -0.8922
0.0031 7.0816 0.0032
-1.2987 -0.0019 6.4851
Er Zn Pd
7 2 2
direct
0.0000 0.2670 0.5000
0.5000 0.7330 0.0000
0.0000 0.7330 0.5000
0.5000 0.2670 0.0000
0.0000 0.0000 0.0000
0.5000 0.7391 0.5000
0.5000 0.2609 0.5000
0.8319 0.5000 0.8319
0.1681 0.5000 0.1681
0.7079 0.0000 0.2921
0.2921 0.0000 0.7079
```

Calculated values
magnetization = 0.00 μB per formula unit
total energy = -47.82 eV per cell
ΔH_f (0 K) = -0.268 eV/atom

## ErZrZnPd (PBE)

Data for a geometry-optimized ErZrZnPd structure.

Structure (POSCAR):
```
ErZrZnPd
1.0
4.8505 0.0000 0.0000
2.4252 4.2006 0.0000
2.4252 1.4002 3.9604
Zn Zr Pd Er
1 1 1 1
direct
0.0000 0.0000 0.0000
0.2500 0.2500 0.2500
0.5000 0.5000 0.5000
0.7500 0.7500 0.7500
```

Calculated values
magnetization = 0.00 μB per formula unit
total energy = -21.36 eV per cell
ΔH_f (0 K) = -0.444 eV/atom